! SCAN TlSiAg2, single point on PBEsol structure; values from VASP
! Uncorrected energy = -35.8580 eV/atom
! Fermi-level density of states = 1.285 states/eV per cell
! ΔE_f (raw) = 0.42 eV per atom
&SYSTEM
  ibrav = 0, nat = 4, ntyp = 3
/
ATOMIC_SPECIES
Ag 107.87 Ag.upf
Tl 204.38 Tl.upf
Si 28.09 Si.upf
CELL_PARAMETERS angstrom
-0.396 -0.823 -4.059
3.839 -1.601 -0.050
-3.318 -2.645 2.992
ATOMIC_POSITIONS angstrom
Ag -0.996 -2.340 -1.561
Ag 0.000 0.000 0.000
Tl 1.122 -2.729 0.444
Si 1.722 -1.212 -2.054

---

! SCAN SiAg2W, single point on PBEsol structure; values from VASP
! Uncorrected energy = -35.0778 eV/atom
! Fermi-level density of states = 1.724 states/eV per cell
! ΔE_f (raw) = 0.53 eV per atom
&SYSTEM
  ibrav = 0, nat = 4, ntyp = 3
/
ATOMIC_SPECIES
Si 28.09 Si.upf
Ag 107.87 Ag.upf
W 183.84 W.upf
CELL_PARAMETERS angstrom
-0.618 -2.717 0.130
1.038 -1.569 2.059
-7.276 0.508 5.945
ATOMIC_POSITIONS angstrom
Si -3.428 -1.889 4.067
Ag -5.067 -2.853 6.047
Ag -1.789 -0.925 2.086
W 0.000 0.000 0.000

---

! SCAN SiAgW2, single point on PBEsol structure; values from VASP
! Uncorrected energy = -44.7014 eV/atom
! Fermi-level density of states = 2.775 states/eV per cell
! ΔE_f (raw) = 0.49 eV per atom
&SYSTEM
  ibrav = 0, nat = 4, ntyp = 3
/
ATOMIC_SPECIES
W 183.84 W.upf
Ag 107.87 Ag.upf
Si 28.09 Si.upf
CELL_PARAMETERS angstrom
-1.279 -0.666 -2.914
1.397 -4.144 0.333
-3.658 1.338 3.113
ATOMIC_POSITIONS angstrom
W -3.436 -3.440 0.480
W -2.406 -0.856 -0.562
Ag -0.079 -2.446 -1.220
Si -1.099 -2.605 1.077

---

! SCAN SiAgW2, single point on PBEsol structure; values from VASP
! Uncorrected energy = -44.6239 eV/atom
! Fermi-level density of states = 1.971 states/eV per cell
! ΔE_f (raw) = 0.57 eV per atom
&SYSTEM
  ibrav = 0, nat = 4, ntyp = 3
/
ATOMIC_SPECIES
W 183.84 W.upf
Ag 107.87 Ag.upf
Si 28.09 Si.upf
CELL_PARAMETERS angstrom
-1.340 -2.457 -1.732
2.930 -2.666 1.515
-2.587 -0.945 3.343
ATOMIC_POSITIONS angstrom
W 0.000 0.000 0.000
W 0.795 -2.561 -0.108
Ag -1.964 -1.701 0.805
Si 0.171 -1.805 2.429

---

! SCAN SiAgW2, single point on PBEsol structure; values from VASP
! Uncorrected energy = -44.7368 eV/atom
! Fermi-level density of states = 2.464 states/eV per cell
! ΔE_f (raw) = 0.45 eV per atom
&SYSTEM
  ibrav = 0, nat = 4, ntyp = 3
/
ATOMIC_SPECIES
W 183.84 W.upf
Si 28.09 Si.upf
Ag 107.87 Ag.upf
CELL_PARAMETERS angstrom
2.712 0.002 0.000
-0.758 2.604 0.000
0.000 0.000 8.555
ATOMIC_POSITIONS angstrom
W 0.000 0.000 6.605
W 0.000 0.000 1.951
Si 0.977 1.303 0.000
Ag 0.977 1.303 4.278

---

! SCAN SiAgW2, single point on PBEsol structure; values from VASP
! Uncorrected energy = -44.7242 eV/atom
! Fermi-level density of states = 1.903 states/eV per cell
! ΔE_f (raw) = 0.47 eV per atom
&SYSTEM
  ibrav = 0, nat = 4, ntyp = 3
/
ATOMIC_SPECIES
W 183.84 W.upf
Si 28.09 Si.upf
Ag 107.87 Ag.upf
CELL_PARAMETERS angstrom
2.744 0.000 0.004
0.000 4.128 0.000
-0.963 0.000 5.334
ATOMIC_POSITIONS angstrom
W 1.864 0.000 3.891
W -0.083 0.000 1.447
Si 0.890 2.064 2.669
Ag 1.372 2.064 0.002

---

! SCAN SiAg4W, single point on PBEsol structure; values from VASP
! Uncorrected energy = -33.1777 eV/atom
! Fermi-level density of states = 2.776 states/eV per cell
! ΔE_f (raw) = 1.02 eV per atom
&SYSTEM
  ibrav = 0, nat = 6, ntyp = 3
/
ATOMIC_SPECIES
Ag 107.87 Ag.upf
Si 28.09 Si.upf
W 183.84 W.upf
CELL_PARAMETERS angstrom
5.270 0.000 0.000
2.635 4.564 0.000
2.635 1.521 4.303
ATOMIC_POSITIONS angstrom
Ag 6.589 2.281 1.613
Ag 5.270 4.566 1.613
Ag 5.270 3.042 3.767
Ag 3.950 2.281 1.613
Si 7.904 4.564 3.227
W 0.000 0.000 0.000

---

! SCAN SiAg2W, single point on PBEsol structure; values from VASP
! Uncorrected energy = -34.9392 eV/atom
! Fermi-level density of states = 2.782 states/eV per cell
! ΔE_f (raw) = 0.67 eV per atom
&SYSTEM
  ibrav = 0, nat = 4, ntyp = 3
/
ATOMIC_SPECIES
Ag 107.87 Ag.upf
Si 28.09 Si.upf
W 183.84 W.upf
CELL_PARAMETERS angstrom
2.765 0.000 0.000
0.000 4.924 0.000
-1.383 -2.462 4.621
ATOMIC_POSITIONS angstrom
Ag 1.383 0.000 2.477
Ag 0.000 0.000 0.031
Si 1.383 2.462 0.010
W 0.000 2.462 2.103